Compound: BeAlRh2
Source: the Alexandria database
Functional: GGA-PBE
Structure: relaxed

Lattice parameters (Å, degrees): 4.2373 4.2373 4.6594 109.46 109.46 41.09
With the nearest neighbours (Å) after each atom.
Element x y z (fractional)
Be  0.0000  0.0000  0.0000  4 Rh 2.28
Al  0.5000  0.5000  0.5000  6 Rh 2.55-2.57, 4 Be 2.76
Rh  0.2735  0.2735  0.7754  2 Be 2.28, 1 Al 2.55
Rh  0.7265  0.7265  0.2246  2 Be 2.28, 1 Al 2.55

Results
formation energy from the elements	-550	meV per atom
theoretical density	7814	kg/m³
calculated total energy	-6.09	eV per atom
size of the total moment	0.00	μB/atom
symmetry	C2/m (12)

Compound: BeAlRh2
Source: the Alexandria database
Functional: GGA-PBE
Structure: relaxed

Lattice parameters (Å, degrees): 4.8591 4.8591 4.8591 137.75 137.75 61.28
With the nearest neighbours (Å) after each atom.
Element x y z (fractional)
Be  0.0000  0.0000  0.0000  8 Rh 2.48-2.73, 4 Al 2.73
Al  0.7500  0.2500  0.5000  8 Rh 2.48-2.73, 4 Be 2.73
Rh  0.2500  0.7500  0.5000  4 Al 2.48, 4 Rh 2.73, 4 Be 2.73
Rh  0.5000  0.5000  0.0000  4 Be 2.48, 4 Al 2.73, 4 Rh 2.73

Results
formation energy from the elements	-489	meV per atom
theoretical density	7830	kg/m³
calculated total energy	-6.03	eV per atom
size of the total moment	0.00	μB/atom
symmetry	I-4m2 (119)

Compound: Be4AlRh
Source: the Alexandria database
Functional: GGA-PBE
Structure: relaxed

Lattice parameters (Å, degrees): 4.3246 4.3246 4.3246 60.00 60.00 60.00
With the nearest neighbours (Å) after each atom.
Element x y z (fractional)
Be  0.1253  0.1253  0.1253  6 Be 2.16-2.17
Be  0.1253  0.1253  0.6242  6 Be 2.16-2.17
Be  0.1253  0.6242  0.1253  6 Be 2.16-2.17
Be  0.6242  0.1253  0.1253  6 Be 2.16-2.17
Al  0.7500  0.7500  0.7500  12 Be 2.54, 4 Rh 2.65
Rh  0.5000  0.5000  0.5000  12 Be 2.54, 4 Al 2.65

Results
formation energy from the elements	-545	meV per atom
theoretical density	4818	kg/m³
calculated total energy	-4.88	eV per atom
size of the total moment	0.00	μB/atom
symmetry	F-43m (216)

Compound: BeAlRh2
Source: the Alexandria database
Functional: GGA-PBE
Structure: relaxed

Lattice parameters (Å, degrees): 2.8976 2.9024 5.7887 90.00 90.19 90.00
With the nearest neighbours (Å) after each atom.
Element x y z (fractional)
Be  0.0000  0.0000  0.0000  8 Rh 2.46-2.47
Al  0.0000  0.0000  0.5000  8 Rh 2.56
Rh  0.4990  0.5000  0.2361  4 Be 2.46-2.47, 4 Al 2.56, 1 Rh 2.73
Rh  0.5010  0.5000  0.7639  4 Be 2.46-2.47, 4 Al 2.56, 1 Rh 2.73

Results
formation energy from the elements	-888	meV per atom
theoretical density	8248	kg/m³
calculated total energy	-6.43	eV per atom
size of the total moment	0.00	μB/atom
symmetry	P2/m (10)

Compound: BeAl2Rh
Source: the Alexandria database
Functional: GGA-PBE
Structure: relaxed

Lattice parameters (Å, degrees): 4.5299 4.5299 4.5299 130.86 130.86 72.03
With the nearest neighbours (Å) after each atom.
Element x y z (fractional)
Be  0.0000  0.0000  0.0000  8 Al 2.63, 4 Rh 2.66
Al  0.2500  0.7500  0.5000  4 Rh 2.63, 4 Be 2.63, 4 Al 2.66
Al  0.7500  0.2500  0.5000  4 Rh 2.63, 4 Be 2.63, 4 Al 2.66
Rh  0.5000  0.5000  0.0000  8 Al 2.63, 4 Be 2.66

Results
formation energy from the elements	-497	meV per atom
theoretical density	5298	kg/m³
calculated total energy	-5.14	eV per atom
size of the total moment	0.00	μB/atom
symmetry	I4/mmm (139)

Compound: BeAlRh2
Source: the Alexandria database
Functional: GGA-PBE
Structure: relaxed

Lattice parameters (Å, degrees): 4.1082 4.1082 4.1082 60.00 60.00 60.00
With the nearest neighbours (Å) after each atom.
Element x y z (fractional)
Be  0.0000  0.0000  0.0000  8 Rh 2.52
Al  0.5000  0.5000  0.5000  8 Rh 2.52
Rh  0.2500  0.2500  0.2500  4 Al 2.52, 4 Be 2.52
Rh  0.7500  0.7500  0.7500  4 Al 2.52, 4 Be 2.52

Results
formation energy from the elements	-875	meV per atom
theoretical density	8190	kg/m³
calculated total energy	-6.42	eV per atom
size of the total moment	0.00	μB/atom
symmetry	Fm-3m (225)

Compound: BeAl2Rh
Source: the Alexandria database
Functional: GGA-PBE
Structure: relaxed

Lattice parameters (Å, degrees): 3.0224 3.2774 5.3061 90.00 90.00 90.00
With the nearest neighbours (Å) after each atom.
Element x y z (fractional)
Be  0.0000  0.0000  0.0000  5 Al 2.50-2.56, 4 Rh 2.54
Al  0.0000  0.0000  0.5293  1 Be 2.50, 4 Rh 2.57, 4 Al 2.72
Al  0.5000  0.5000  0.2363  1 Rh 2.48, 4 Be 2.56, 4 Al 2.72
Rh  0.5000  0.5000  0.7693  5 Al 2.48-2.57, 4 Be 2.54

Results
formation energy from the elements	-480	meV per atom
theoretical density	5241	kg/m³
calculated total energy	-5.12	eV per atom
size of the total moment	0.00	μB/atom
symmetry	Pmm2 (25)

Compound: BeAl2Rh
Source: the Alexandria database
Functional: GGA-PBE
Structure: relaxed

Lattice parameters (Å, degrees): 8.0854 8.0854 8.0854 20.25 20.25 20.25
With the nearest neighbours (Å) after each atom.
Element x y z (fractional)
Be  0.0000  0.0000  0.0000  3 Rh 2.33, 3 Al 2.57
Al  0.2498  0.2498  0.2498  3 Be 2.57, 9 Al 2.84-2.85
Al  0.4853  0.4853  0.4853  3 Rh 2.55, 9 Al 2.84-2.85
Rh  0.7364  0.7364  0.7364  3 Be 2.33, 3 Al 2.55

Results
formation energy from the elements	-238	meV per atom
theoretical density	4969	kg/m³
calculated total energy	-4.88	eV per atom
size of the total moment	0.00	μB/atom
symmetry	R3m (160)

Compound: BeAlRh2
Source: the Alexandria database
Functional: GGA-PBE
Structure: relaxed

Lattice parameters (Å, degrees): 7.4025 7.4025 7.4025 22.29 22.29 22.29
With the nearest neighbours (Å) after each atom.
Element x y z (fractional)
Be  0.0000  0.0000  0.0000  6 Rh 2.33
Al  0.5000  0.5000  0.5000  6 Rh 2.57, 6 Al 2.86
Rh  0.2575  0.2575  0.2575  3 Be 2.33, 3 Al 2.57
Rh  0.7425  0.7425  0.7425  3 Be 2.33, 3 Al 2.57

Results
formation energy from the elements	-558	meV per atom
theoretical density	7844	kg/m³
calculated total energy	-6.10	eV per atom
size of the total moment	0.00	μB/atom
symmetry	R-3m (166)

Compound: Be2AlRh2
Source: the Alexandria database
Functional: GGA-PBE
Structure: relaxed

Lattice parameters (Å, degrees): 6.9500 6.9500 6.9500 155.13 155.13 35.46
With the nearest neighbours (Å) after each atom.
Element x y z (fractional)
Be  0.2500  0.7500  0.5000  4 Be 2.12, 4 Rh 2.35
Be  0.7500  0.2500  0.5000  4 Be 2.12, 4 Rh 2.35
Al  0.0000  0.0000  0.0000  8 Rh 2.59
Rh  0.3870  0.3870  0.0000  4 Be 2.35, 4 Al 2.59
Rh  0.6130  0.6130  0.0000  4 Be 2.35, 4 Al 2.59

Results
formation energy from the elements	-550	meV per atom
theoretical density	7024	kg/m³
calculated total energy	-5.73	eV per atom
size of the total moment	0.00	μB/atom
symmetry	I4/mmm (139)

Compound: Be3AlRh
Source: the Alexandria database
Functional: GGA-PBE
Structure: relaxed

Lattice parameters (Å, degrees): 4.1743 4.1743 4.1743 90.00 90.00 90.00
With the nearest neighbours (Å) after each atom.
Element x y z (fractional)
Be  0.0000  0.0000  0.5000  2 Rh 2.09
Be  0.0000  0.5000  0.0000  2 Rh 2.09
Be  0.5000  0.0000  0.0000  2 Rh 2.09
Al  0.5000  0.5000  0.5000  12 Be 2.95
Rh  0.0000  0.0000  0.0000  6 Be 2.09

Results
formation energy from the elements	366	meV per atom
theoretical density	3582	kg/m³
calculated total energy	-4.09	eV per atom
size of the total moment	0.00	μB/atom
symmetry	Pm-3m (221)

Compound: BeAlRh2
Source: the Alexandria database
Functional: GGA-PBE
Structure: relaxed

Lattice parameters (Å, degrees): 4.2085 4.2085 4.2085 60.00 60.00 60.00
With the nearest neighbours (Å) after each atom.
Element x y z (fractional)
Be  0.0000  0.0000  0.0000  4 Rh 2.58, 4 Al 2.58
Al  0.7500  0.7500  0.7500  4 Be 2.58, 4 Rh 2.58
Rh  0.2500  0.2500  0.2500  4 Be 2.58, 4 Rh 2.58
Rh  0.5000  0.5000  0.5000  4 Al 2.58, 4 Rh 2.58

Results
formation energy from the elements	-293	meV per atom
theoretical density	7618	kg/m³
calculated total energy	-5.84	eV per atom
size of the total moment	0.00	μB/atom
symmetry	F-43m (216)

Compound: BeAlRh2
Source: the Alexandria database
Functional: GGA-PBE
Structure: relaxed

Lattice parameters (Å, degrees): 4.6827 4.6827 4.1808 105.19 105.19 35.22
With the nearest neighbours (Å) after each atom.
Element x y z (fractional)
Be  0.0000  0.0000  0.0000  7 Rh 2.46-2.54
Al  0.7613  0.7613  0.3851  7 Rh 2.46-2.56
Rh  0.2660  0.2660  0.8992  3 Be 2.46-2.52, 4 Al 2.49-2.56
Rh  0.5067  0.5067  0.5066  3 Al 2.46-2.54, 4 Be 2.52-2.54

Results
formation energy from the elements	-632	meV per atom
theoretical density	7898	kg/m³
calculated total energy	-6.17	eV per atom
size of the total moment	0.00	μB/atom
symmetry	Cm (8)

Compound: Be6AlRh
Source: the Alexandria database
Functional: GGA-PBE
Structure: relaxed

Lattice parameters (Å, degrees): 4.3297 4.3297 4.3297 90.00 90.00 90.00
With the nearest neighbours (Å) after each atom.
Element x y z (fractional)
Be  0.0000  0.2564  0.5000  2 Be 2.11-2.22
Be  0.0000  0.7436  0.5000  2 Be 2.11-2.22
Be  0.2564  0.5000  0.0000  2 Be 2.11-2.22
Be  0.5000  0.0000  0.2564  2 Be 2.11-2.22
Be  0.5000  0.0000  0.7436  2 Be 2.11-2.22
Be  0.7436  0.5000  0.0000  2 Be 2.11-2.22
Al  0.0000  0.0000  0.0000  12 Be 2.43
Rh  0.5000  0.5000  0.5000  12 Be 2.41

Results
formation energy from the elements	-7	meV per atom
theoretical density	3764	kg/m³
calculated total energy	-4.19	eV per atom
size of the total moment	0.00	μB/atom
symmetry	Pm-3 (200)